PBE-GGA MnPPb, relaxed; energy of formation from the pure elements = 0.397 eV/atom; magnetic moment = 3.935 Bohr magnetons per cell; volume = 65.5 Å³/cell; offset from the most stable computed form = 35.3 kJ/mol of atoms; space-group type = F-43m, No. 216
1.0
0.000 3.200 3.200
3.200 0.000 3.200
3.200 3.200 0.000
Mn P Pb
1 1 1
direct
0.750 0.750 0.750
0.000 0.000 0.000
0.500 0.500 0.500